Entry from Alexandria via LeMat-Bulk: a geometry-optimized VTeI2F structure (PBE+U).

a = 5.3459 Å, b = 5.3459 Å, c = 5.1217 Å
α = 90.00°, β = 90.00°, γ = 90.00°
Space group P4/mmm (No. 123)
Inequivalent atoms, fractional coordinates:
V 0.0000 0.0000 0.0000 x1
Te 0.0000 0.0000 0.5000 x1
I 0.0000 0.5000 0.0000 x2
F 0.5000 0.5000 0.5000 x1

Computed properties:
**Energy above the lowest structure with this stoichiometry**: 0 meV/atom
**Total energy**: -2.849 eV per atom
**Total magnetization**: 0.00 μB/cell